(1)
This record from Alexandria describes Mn2NiS4 after structural relaxation. The functional is GGA-PBE.

- Total magnetization: 11.406 μB per cell
- Fermi-level density of states: 7.78 states/eV/cell
- Space-group type: Cmcm, No. 63
- Formation energy (no corrections): -0.354 eV/atom

```
Mn2NiS4
1.0
-0.821 1.247 -2.972
3.611 -4.475 -1.013
-9.124 -7.246 -0.520
Mn Ni S
4 2 8
direct
0.133 0.267 0.427
0.867 0.733 0.927
0.133 0.267 0.073
0.867 0.733 0.573
0.616 0.233 0.750
0.384 0.767 0.250
0.779 0.559 0.117
0.779 0.559 0.383
0.221 0.441 0.883
0.221 0.441 0.617
0.972 0.944 0.750
0.028 0.056 0.250
0.500 0.000 0.000
0.500 0.000 0.500
```

(2)
This record from Alexandria describes TbIrPb2O8 after structural relaxation. The functional is GGA-PBE.

- Total magnetization: 1.698 μB per cell
- Fermi-level density of states: 4.64 states/eV/cell
- Space-group type: P2/m, No. 10
- Formation energy (no corrections): -1.317 eV/atom

```
TbIrPb2O8
1.0
-0.374 -4.703 1.661
3.936 0.676 2.993
-4.146 2.089 4.981
Tb Ir Pb O
1 1 2 8
direct
0.000 0.000 0.500
0.000 0.000 0.000
0.500 0.500 0.754
0.500 0.500 0.246
0.180 0.810 0.220
0.717 0.729 0.000
0.820 0.190 0.220
0.820 0.190 0.780
0.283 0.271 0.000
0.180 0.810 0.780
0.683 0.694 0.500
0.317 0.306 0.500
```

(3)
This record from Alexandria describes Cs3NaTl2Cl9 after structural relaxation. The functional is GGA-PBE.

- Total magnetization: 0.000 μB per cell
- Fermi-level density of states: 2.35 states/eV/cell
- Space-group type: P-3m1, No. 164
- Formation energy (no corrections): -1.409 eV/atom

```
Cs3NaTl2Cl9
1.0
7.724 0.000 0.000
-3.862 6.689 0.000
0.000 0.000 9.518
Cs Na Tl Cl
3 1 2 9
direct
0.333 0.667 0.658
0.000 0.000 0.000
0.667 0.333 0.342
0.000 0.000 0.500
0.333 0.667 0.172
0.667 0.333 0.828
0.832 0.168 0.673
0.832 0.663 0.673
0.337 0.168 0.673
0.663 0.832 0.327
0.168 0.337 0.327
0.168 0.832 0.327
0.500 0.000 0.000
0.000 0.500 0.000
0.500 0.500 0.000
```

(4)
This record from Alexandria describes Rb2SmMn2Se4 after structural relaxation. The functional is GGA-PBE.

- Total magnetization: 9.001 μB per cell
- Fermi-level density of states: 2.57 states/eV/cell
- Space-group type: C2/m, No. 12
- Formation energy (no corrections): -1.089 eV/atom

```
Rb2SmMn2Se4
1.0
4.258 0.000 0.000
0.000 8.223 0.375
-2.129 -2.921 7.284
Rb Sm Mn Se
2 1 2 4
direct
0.132 0.553 0.263
0.868 0.447 0.737
0.000 0.000 0.000
0.678 0.983 0.357
0.322 0.017 0.643
0.200 0.170 0.400
0.800 0.830 0.600
0.522 0.767 0.044
0.478 0.233 0.956
```

| no. | electronic total energy (eV per atom) |
| --- | --- |
| 1 | -6.159 |
| 2 | -6.364 |
| 3 | -3.091 |
| 4 | -5.415 |